# 1
Entry from Alexandria via LeMat-Bulk: crystalline Tb2PrNd at its relaxed geometry (PBE).

The calculation puts the total energy at -4.6452 eV/atom. The total moment comes out at 0.0 μB/cell. Its energy above the lowest structure with this stoichiometry is 0.18 eV/f.u. The formation energy is 0.057 eV per atom. The density of states at the Fermi level is 11.642 states/eV/cell.

It has space group Amm2 (No. 38), with a = 5.673 Å, b = 3.578 Å, c = 13.365 Å, α = 90.00°, β = 90.00° and γ = 90.00°. Symmetry generates all atoms from Tb at (0.000, 0.000, 0.000), Tb at (0.500, 0.000, 0.360), Pr at (0.000, 0.000, 0.743) and Nd at (0.500, 0.000, 0.617).

=====

# 2
Entry from Alexandria via LeMat-Bulk: crystalline Tb12PrNd6 at its relaxed geometry (PBE).

The calculation puts the total energy at -4.5675 eV/atom. The total moment comes out at 0.0 μB/cell. Its energy above the lowest structure with this stoichiometry is 0.00 eV/f.u. The formation energy is 0.114 eV per atom. The density of states at the Fermi level is 90.828 states/eV/cell.

It has space group R-3m (No. 166, hexagonal axes), with a = 11.1939 Å, b = 11.1939 Å, c = 17.6216 Å, α = 90.00°, β = 90.00° and γ = 120.00°. Symmetry generates all atoms from Tb at (0.1030, 0.5515, 0.4144), Tb at (0.1061, 0.2123, 0.4094), Pr at (0.0000, 0.0000, 0.0000) and Nd at (0.0698, 0.5349, 0.7654).

=====

# 3
Entry from Alexandria via LeMat-Bulk: crystalline Tb2Pr6Nd3 at its relaxed geometry (PBE).

The calculation puts the total energy at -4.4810 eV/atom. The total moment comes out at 0.0 μB/cell. Its energy above the lowest structure with this stoichiometry is 2.82 eV/f.u. The formation energy is 0.268 eV per atom. The density of states at the Fermi level is 33.486 states/eV/cell.

It has space group I4/mmm (No. 139), with a = 4.839 Å, b = 4.839 Å, c = 34.444 Å, α = 90.00°, β = 90.00° and γ = 90.00°. Symmetry generates all atoms from Tb at (0.000, 0.000, 0.045), Pr at (0.000, 0.000, 0.205), Pr at (0.000, 0.500, 0.119), Nd at (0.000, 0.000, 0.305) and Nd at (0.000, 0.000, 0.500).